Record 1
LaGe3C: relaxed, PBE.

Properties
Final energy in eV per atom: -5.121
Distance to the lowest polymorph of the same formula in meV/atom: 0
Volume in Å³/atom: 19.24

abc: 4.5824 4.5824 4.5824
angles: 90.00 90.00 90.00
Positions (direct):
Ge1 0.0000 0.5000 0.0000
Ge2 0.0000 0.0000 0.5000
Ge3 0.5000 0.0000 0.0000
C1 0.0000 0.0000 0.0000
La1 0.5000 0.5000 0.5000

Record 2
V2AsW: relaxed, PBE.

Properties
Final energy in eV per atom: -8.897
Distance to the lowest polymorph of the same formula in meV/atom: 213
Volume in Å³/atom: 14.26

abc: 4.3204 4.3204 4.3204
angles: 60.00 60.00 60.00
Positions (direct):
As1 0.0000 0.0000 0.0000
W1 0.5000 0.5000 0.5000
V1 0.2500 0.2500 0.2500
V2 0.7500 0.7500 0.7500

Record 3
Nd7AlS5: relaxed, PBE.

Properties
Final energy in eV per atom: -6.055
Formation energy (no corrections) in eV per atom: -1.613
Volume in Å³/atom: 25.81

abc: 4.0593 7.0748 24.3965
angles: 90.01 90.00 106.73
Positions (direct):
Nd1 0.4760 0.9519 0.2500
Nd2 0.5246 0.0493 0.7500
Nd3 0.6366 0.2731 0.0359
Nd4 0.3640 0.7282 0.9641
Nd5 0.3640 0.7282 0.5358
Nd6 0.6365 0.2728 0.4641
Nd7 0.1808 0.3620 0.1744
Nd8 0.8198 0.6392 0.8256
Nd9 0.8200 0.6397 0.6743
Nd10 0.1805 0.3614 0.3257
Nd11 0.9091 0.8185 0.1098
Nd12 0.0915 0.1827 0.8903
Nd13 0.0917 0.1830 0.6098
Nd14 0.9088 0.8180 0.3902
Al1 0.8044 0.6079 0.2502
Al2 0.1962 0.3933 0.7498
S1 0.0003 0.0006 0.0000
S2 0.7267 0.4534 0.9294
S3 0.2739 0.5479 0.0706
S4 0.5463 0.0925 0.3593
S5 0.4542 0.9086 0.6407
S6 0.0002 0.0005 0.5000
S7 0.2737 0.5476 0.4294
S8 0.7268 0.4535 0.5706
S9 0.4541 0.9083 0.8593
S10 0.5466 0.0930 0.1407

Record 4
BaNiSb2: relaxed, PBE.

Properties
Final energy in eV per atom: -3.874
Formation energy (no corrections) in eV per atom: 0.114
Volume in Å³/atom: 27.20

abc: 5.3585 5.3585 5.3585
angles: 60.00 60.00 60.00
Positions (direct):
Sb1 0.2500 0.2500 0.2500
Sb2 0.7500 0.7500 0.7500
Ba1 0.5000 0.5000 0.5000
Ni1 0.0000 0.0000 0.0000